12
Lattice="6.726 0.000 0.000 0.000 6.702 0.000 0.000 -3.351 5.825" Properties=species:S:1:pos:R:3 comment="BaGa3NiIr PBE relaxed" total_magnetization_mub_per_fu=0.00 ef_ev_per_atom=-0.389 pbc="T T T"
Ba 5.044 0.000 3.009
Ba 1.681 3.351 2.816
Ga 1.681 0.000 2.581
Ga 0.000 1.698 0.000
Ga 3.363 5.004 0.000
Ga 3.363 1.698 0.000
Ga 0.000 5.004 0.000
Ga 5.044 3.351 3.244
Ni 1.681 0.000 0.340
Ni 5.044 3.351 5.485
Ir 1.681 0.000 4.925
Ir 5.044 3.351 0.900